First-principles (GGA-PBE) data for PuAg3Br6Cl2 after structural relaxation, as listed in Alexandria via LeMat-Bulk.

Cell: 6.660 8.032 7.982 Å, 120.20 101.72 90.00°
Last column: magnetic moment on the atom in μB.
Positions (direct):
Ag 0.500 0.000 0.500  -0.09
Br 0.253 0.137 0.274  -0.11
Ag 0.500 0.500 0.500  -0.09
Br 0.752 0.347 0.202  -0.12
Br 0.248 0.145 0.798  -0.12
Ag 0.000 0.500 0.000  -0.09
Br 0.248 0.653 0.798  -0.12
Pu 0.500 0.000 0.000  4.43
Cl 0.269 0.656 0.312  -0.06
Cl 0.731 0.344 0.688  -0.06
Br 0.747 0.863 0.726  -0.11
Br 0.752 0.855 0.202  -0.12

Summary:
N(E_F): 11.74 states/eV per cell
uncorrected formation energy: -0.73 eV/atom
crystal system: monoclinic